# 1
Compound: Pr4OsSe2Br
Source: Alexandria
Functional: PBE-GGA
Structure: relaxed

Cell and atoms, written as POSCAR:
```
Pr4OsSe2Br
1.0
7.495 0.000 0.000
0.000 4.176 0.000
-2.256 0.000 7.241
Pr Os Se Br
4 1 2 1
Cartesian
1.244 0.000 1.614
0.096 2.088 5.654
5.142 2.088 1.586
3.994 0.000 5.627
0.000 2.088 0.000
3.747 0.000 0.000
2.619 2.088 3.620
-1.128 0.000 3.620
```

Results
Calculated density   7.27 g/cm3
Energy relative to the elements, uncorrected   -1.174 eV per atom
Raw total energy   -48.39 eV per cell

# 2
Compound: Pr8Si3OsBr4
Source: Alexandria
Functional: PBE-GGA
Structure: relaxed

Cell and atoms, written as POSCAR:
```
Pr8Si3OsBr4
1.0
4.300 2.482 7.474
-4.300 2.482 7.474
0.000 -4.965 7.474
Pr Si Os Br
8 3 1 4
Cartesian
0.000 0.000 5.328
-2.074 -1.197 12.738
0.000 -2.395 9.684
-2.074 1.197 9.684
2.074 -1.197 12.738
0.000 2.395 12.738
2.074 1.197 9.684
0.000 0.000 17.093
-4.300 0.000 11.211
-2.150 1.241 3.737
2.150 1.241 3.737
0.000 0.000 11.211
0.000 0.000 0.000
-2.150 -1.241 7.474
-2.150 1.241 14.948
0.000 2.482 7.474
```

Results
Calculated density   5.97 g/cm3
Energy relative to the elements, uncorrected   -0.961 eV per atom
Raw total energy   -87.80 eV per cell